RbLaCoO4 | PBE with a Hubbard U | relaxed

Cell lengths 5.7637, 5.5152, 8.0144 Å; angles 90.00, 103.07, 90.00 degrees
Closest atoms and distances in Å follow each position.
Positions (direct):
Rb  0.1742  0.2500  0.1072  5 O 2.88-2.98
Rb  0.8258  0.7500  0.8928  5 O 2.88-2.98
La  0.2227  0.7500  0.4690  6 O 2.34-2.54
La  0.7773  0.2500  0.5310  6 O 2.34-2.54
Co  0.3402  0.2500  0.7118  3 O 1.73-1.76
Co  0.6598  0.7500  0.2882  3 O 1.73-1.76
O  0.1307  0.0139  0.7010  1 Co 1.76
O  0.1307  0.4861  0.7010  1 Co 1.76
O  0.3582  0.7500  0.1933  1 Co 1.73
O  0.3608  0.2500  0.4718  1 Co 1.95
O  0.6392  0.7500  0.5282  1 Co 1.95
O  0.6418  0.2500  0.8067  1 Co 1.73
O  0.8693  0.5139  0.2990  1 Co 1.76
O  0.8693  0.9861  0.2990  1 Co 1.76

For the density of states at the Fermi level, the calculation gives 2.7 states/eV per cell. The value obtained for the uncorrected energy is -87.68 eV for the cell shown. The value obtained for the volume is 17.7 Å³/atom.